(1)
A plane-wave DFT calculation with PBE was carried out for a relaxed SiMoBr crystal.

a = 3.1682 Å, b = 3.1682 Å, c = 12.4119 Å
α = 90.00°, β = 90.00°, γ = 90.00°
Space group I4mm (No. 107)
One atom of each set of equivalent atoms:
Si: 0.0000 0.0000 0.0000 [2 per cell]
Mo: 0.0000 0.0000 0.5973 [2 per cell]
Br: 0.0000 0.0000 0.2397 [2 per cell]

**Total magnetization**: 0.259 μB per atom
**Calculated density**: 5.44 g/cm³
**DFT total energy**: -33.40 eV per cell


(2)
A plane-wave DFT calculation with PBE was carried out for a relaxed HfZnBi2Os crystal.

a = 5.0517 Å, b = 5.0517 Å, c = 4.9992 Å
α = 90.00°, β = 90.00°, γ = 90.00°
Space group P4/mmm (No. 123)
One atom of each set of equivalent atoms:
Hf: 0.0000 0.0000 0.0000 [1 per cell]
Zn: 0.0000 0.0000 0.5000 [1 per cell]
Bi: 0.0000 0.5000 0.5000 [2 per cell]
Os: 0.5000 0.5000 0.0000 [1 per cell]

**Total magnetization**: 0.210 μB per atom
**Calculated density**: 11.09 g/cm³
**DFT total energy**: -22.82 eV per cell
**Formation energy**: 1.48 eV per atom


(3)
A plane-wave DFT calculation with PBE was carried out for a relaxed SmEr4Cd2 crystal.

a = 5.0506 Å, b = 5.0506 Å, c = 30.8445 Å
α = 90.00°, β = 90.00°, γ = 120.00°
Space group R-3m (No. 166, hexagonal axes)
One atom of each set of equivalent atoms:
Sm: 0.0000 0.0000 0.0000 [3 per cell]
Er: 0.0000 0.0000 0.2022 [6 per cell]
Er: 0.0000 0.0000 0.3950 [6 per cell]
Cd: 0.0000 0.0000 0.1010 [6 per cell]

**Total magnetization**: 0.032 μB per atom
**Calculated density**: 7.63 g/cm³
**DFT total energy**: -69.85 eV per cell
**Formation energy**: 0.22 eV per atom